1.
# Pr2ReC2

A relaxed Pr2ReC2 crystal (PBE-GGA, Alexandria via LeMat-Bulk).

The structure in CIF format:
```
data_Pr2ReC2
_chemical_formula_sum 'Pr8 Re4 C8'
_cell_length_a 11.612
_cell_length_b 5.441
_cell_length_c 6.894
_cell_angle_alpha 90.00
_cell_angle_beta 120.03
_cell_angle_gamma 90.00
_space_group_name_H-M_alt 'C 1 2/m 1'
_space_group_IT_number 12
loop_
_space_group_symop_operation_xyz
'x,y,z'
'-x,-y,-z'
'-x,y,-z'
'x,-y,z'
'x+1/2,y+1/2,z'
'-x+1/2,-y+1/2,-z'
'-x+1/2,y+1/2,-z'
'x+1/2,-y+1/2,z'
loop_
_atom_site_label
_atom_site_type_symbol
_atom_site_fract_x
_atom_site_fract_y
_atom_site_fract_z
Pr1 Pr 0.036 0.000 0.287
Pr2 Pr 0.182 0.500 0.131
Re1 Re 0.136 0.500 0.631
C1 C 0.006 0.500 0.286
C2 C 0.184 0.000 0.117
```

Output
Formation energy from the elements, eV/atom: -0.161
Distance to the lowest polymorph of the same formula, meV/atom: 70.3
Magnetic moment, μB per atom: 0.00



2.
# PrRe2C2

A relaxed PrRe2C2 crystal (PBE-GGA, Alexandria via LeMat-Bulk).

The structure in CIF format:
```
data_PrRe2C2
_chemical_formula_sum 'Pr4 Re8 C8'
_cell_length_a 6.737
_cell_length_b 9.081
_cell_length_c 5.813
_cell_angle_alpha 90.00
_cell_angle_beta 123.99
_cell_angle_gamma 90.00
_space_group_name_H-M_alt 'C 1 2/c 1'
_space_group_IT_number 15
loop_
_space_group_symop_operation_xyz
'x,y,z'
'-x,-y,-z'
'-x,y,-z+1/2'
'x,-y,z+1/2'
'x+1/2,y+1/2,z'
'-x+1/2,-y+1/2,-z'
'-x+1/2,y+1/2,-z+1/2'
'x+1/2,-y+1/2,z+1/2'
loop_
_atom_site_label
_atom_site_type_symbol
_atom_site_fract_x
_atom_site_fract_y
_atom_site_fract_z
Pr1 Pr 0.000 0.126 0.250
Re1 Re 0.144 0.378 0.029
C1 C 0.000 0.190 0.750
C2 C 0.000 0.436 0.250
```

Output
Formation energy from the elements, eV/atom: 0.033
Magnetic moment, μB per atom: 0.00



3.
# PrReC2

A relaxed PrReC2 crystal (PBE-GGA, Alexandria via LeMat-Bulk).

The structure in CIF format:
```
data_PrReC2
_chemical_formula_sum 'Pr2 Re2 C4'
_cell_length_a 12.019
_cell_length_b 3.202
_cell_length_c 3.207
_cell_angle_alpha 90.00
_cell_angle_beta 105.44
_cell_angle_gamma 90.00
_space_group_name_H-M_alt 'C 1 m 1'
_space_group_IT_number 8
loop_
_space_group_symop_operation_xyz
'x,y,z'
'x,-y,z'
'x+1/2,y+1/2,z'
'x+1/2,-y+1/2,z'
loop_
_atom_site_label
_atom_site_type_symbol
_atom_site_fract_x
_atom_site_fract_y
_atom_site_fract_z
Pr1 Pr 0.000 0.000 0.000
Re1 Re 0.250 0.500 0.249
C1 C 0.148 0.500 0.647
C2 C 0.353 0.000 0.351
```

Output
Formation energy from the elements, eV/atom: 0.354
Distance to the lowest polymorph of the same formula, meV/atom: 29.2
Magnetic moment, μB per atom: 0.00



4.
# Pr12Re5C15

A relaxed Pr12Re5C15 crystal (PBE-GGA, Alexandria via LeMat-Bulk).

The structure in CIF format:
```
data_Pr12Re5C15
_chemical_formula_sum 'Pr12 Re5 C15'
_cell_length_a 11.0999
_cell_length_b 11.0999
_cell_length_c 5.4063
_cell_angle_alpha 90.00
_cell_angle_beta 90.00
_cell_angle_gamma 120.00
_space_group_name_H-M_alt 'P -6 2 m'
_space_group_IT_number 189
_space_group_name_Hall 'P -6 -2'
loop_
_atom_site_label
_atom_site_type_symbol
_atom_site_fract_x
_atom_site_fract_y
_atom_site_fract_z
Pr1 Pr 0.0000 0.4228 0.0000
Pr2 Pr 0.0000 0.7942 0.0000
Pr3 Pr 0.1868 0.7289 0.5000
Re1 Re 0.0000 0.1529 0.5000
Re2 Re 0.3333 0.6667 0.0000
C1 C 0.0000 0.3277 0.5000
C2 C 0.0000 0.4496 0.5000
C3 C 0.0000 0.7948 0.5000
C4 C 0.1891 0.7133 0.0000
```

Output
Formation energy from the elements, eV/atom: -0.225
Magnetic moment, μB per atom: 0.00



5.
# Pr2ReC3

A relaxed Pr2ReC3 crystal (PBE-GGA, Alexandria via LeMat-Bulk).

The structure in CIF format:
```
data_Pr2ReC3
_chemical_formula_sum 'Pr8 Re4 C12'
_cell_length_a 11.835
_cell_length_b 6.382
_cell_length_c 5.732
_cell_angle_alpha 90.00
_cell_angle_beta 90.00
_cell_angle_gamma 90.00
_space_group_name_H-M_alt 'C m c m'
_space_group_IT_number 63
_space_group_name_Hall '-C 2c 2'
loop_
_atom_site_label
_atom_site_type_symbol
_atom_site_fract_x
_atom_site_fract_y
_atom_site_fract_z
Pr1 Pr 0.149 0.235 0.250
Re1 Re 0.000 0.300 0.750
C1 C 0.000 0.500 0.000
C2 C 0.146 0.161 0.750
```

Output
Formation energy from the elements, eV/atom: -0.036
Magnetic moment, μB per atom: 0.00



6.
# PrReC2

A relaxed PrReC2 crystal (PBE-GGA, Alexandria via LeMat-Bulk).

The structure in CIF format:
```
data_PrReC2
_chemical_formula_sum 'Pr3 Re3 C6'
_cell_length_a 3.2981
_cell_length_b 3.2981
_cell_length_c 17.1192
_cell_angle_alpha 90.00
_cell_angle_beta 90.00
_cell_angle_gamma 120.00
_space_group_name_H-M_alt 'R -3 m'
_space_group_IT_number 166
_space_group_name_Hall '-R 3 2"'
loop_
_atom_site_label
_atom_site_type_symbol
_atom_site_fract_x
_atom_site_fract_y
_atom_site_fract_z
Pr1 Pr 0.0000 0.0000 0.0000
Re1 Re 0.0000 0.0000 0.5000
C1 C 0.0000 0.0000 0.2314
```

Output
Formation energy from the elements, eV/atom: 0.325
Distance to the lowest polymorph of the same formula, meV/atom: 0.0
Magnetic moment, μB per atom: 0.00



7.
# PrRe2SiC

A relaxed PrRe2SiC crystal (PBE-GGA, Alexandria via LeMat-Bulk).

The structure in CIF format:
```
data_PrRe2SiC
_chemical_formula_sum 'Pr4 Re8 Si4 C4'
_cell_length_a 4.045
_cell_length_b 10.952
_cell_length_c 7.400
_cell_angle_alpha 90.00
_cell_angle_beta 90.00
_cell_angle_gamma 90.00
_space_group_name_H-M_alt 'C m c m'
_space_group_IT_number 63
_space_group_name_Hall '-C 2c 2'
loop_
_atom_site_label
_atom_site_type_symbol
_atom_site_fract_x
_atom_site_fract_y
_atom_site_fract_z
Pr1 Pr 0.000 0.043 0.250
Re1 Re 0.000 0.325 0.061
Si1 Si 0.000 0.234 0.750
C1 C 0.000 0.500 0.000
```

Output
Total DFT energy (no corrections), eV per atom: -9.282
Magnetic moment, μB per atom: 0.00



8.
# PrRhC

A relaxed PrRhC crystal (PBE-GGA, Alexandria via LeMat-Bulk).

The structure in CIF format:
```
data_PrRhC
_chemical_formula_sum 'Pr1 Rh1 C1'
_cell_length_a 3.5070
_cell_length_b 3.5070
_cell_length_c 4.8069
_cell_angle_alpha 90.00
_cell_angle_beta 90.00
_cell_angle_gamma 120.00
_space_group_name_H-M_alt 'P 3 m 1'
_space_group_IT_number 156
loop_
_space_group_symop_operation_xyz
'x,y,z'
'-y,x-y,z'
'-x+y,-x,z'
'-y,-x,z'
'-x+y,y,z'
'x,x-y,z'
loop_
_atom_site_label
_atom_site_type_symbol
_atom_site_fract_x
_atom_site_fract_y
_atom_site_fract_z
Pr1 Pr 0.0000 0.0000 0.0000
Rh1 Rh 0.6667 0.3333 0.5262
C1 C 0.3333 0.6667 0.6427
```

Output
Formation energy from the elements, eV/atom: -0.052
Distance to the lowest polymorph of the same formula, meV/atom: 0.0
Magnetic moment, μB per atom: 0.00